# 1
First-principles (PBEsol) data for a relaxed structure of RePb2W, as listed in the Alexandria database.

The calculation puts the volume at 19.4 Å³ per atom. Its size of the total moment is 0.0 μB per cell. The density of states at the Fermi level comes out at 1.035 states/eV per atom. Its formation enthalpy at 0 K is 1318 meV per atom.

It has space group Cmmm (No. 65), with a = 3.2547 Å, b = 5.2027 Å, c = 9.1827 Å, α = 90.00°, β = 90.00° and γ = 90.00°. Symmetry generates all atoms from Re at (0.0000, 0.0000, 0.0000), Pb at (0.0000, 0.5000, 0.2450) and W at (0.0000, 0.0000, 0.5000).

# 2
First-principles (PBEsol) data for a relaxed structure of RePb2W, as listed in the Alexandria database.

The calculation puts the volume at 19.4 Å³ per atom. Its size of the total moment is 0.0 μB per cell. The density of states at the Fermi level comes out at 1.004 states/eV per atom. Its formation enthalpy at 0 K is 1322 meV per atom.

It has space group Pmmm (No. 47), with a = 3.2551 Å, b = 4.5975 Å, c = 5.1985 Å, α = 90.00°, β = 90.00° and γ = 90.00°. Symmetry generates all atoms from Re at (0.0000, 0.0000, 0.0000), Pb at (0.0000, 0.5000, 0.5000), Pb at (0.5000, 0.5000, 0.0000) and W at (0.5000, 0.0000, 0.5000).

# 3
First-principles (PBEsol) data for a relaxed structure of RePb2W, as listed in the Alexandria database.

The calculation puts the volume at 19.5 Å³ per atom. Its size of the total moment is 0.0 μB per cell. The density of states at the Fermi level comes out at 0.417 states/eV per atom. Its formation enthalpy at 0 K is 1174 meV per atom.

It has space group F-43m (No. 216), with a = 6.7801 Å, b = 6.7801 Å, c = 6.7801 Å, α = 90.00°, β = 90.00° and γ = 90.00°. Symmetry generates all atoms from Re at (0.0000, 0.0000, 0.0000), Pb at (0.0000, 0.0000, 0.5000), Pb at (0.2500, 0.2500, 0.2500) and W at (0.2500, 0.2500, 0.7500).